# 1
The following is a PBE calculation of AgOsIO2 after structural relaxation, from Alexandria via LeMat-Bulk.

Cell: 3.986 3.986 6.382 Å, 90.00 90.00 90.00°
Each line ends with the local moment (μB).
Fractional positions:
Os (0.500, 0.500, 0.500)  2.34
O (0.500, 0.000, 0.000)  0.49
O (0.000, 0.500, 0.000)  0.49
Ag (0.000, 0.000, 0.000)  0.14
I (0.000, 0.000, 0.500)  0.08

formation energy without anion corrections	1.32	eV per atom
excess energy over the best structure of this formula in the dataset	1.646	eV/atom
space group	P4/mmm (123)
total DFT energy (no corrections)	-3.79	eV/atom

# 2
The following is a PBE calculation of SrTcBr2 after structural relaxation, from Alexandria via LeMat-Bulk.

Cell: 9.553 9.553 9.553 Å, 24.11 24.11 24.11°
Each line ends with the local moment (μB).
Fractional positions:
Br (0.906, 0.906, 0.906)  0.02
Br (0.094, 0.094, 0.094)  0.02
Sr (0.500, 0.500, 0.500)  -0.03
Tc (0.000, 0.000, 0.000)  3.07

formation energy without anion corrections	-0.07	eV per atom
excess energy over the best structure of this formula in the dataset	0.279	eV/atom
space group	R-3m (166)
total DFT energy (no corrections)	-3.92	eV/atom

# 3
The following is a PBE calculation of TbU2Tl2S6 after structural relaxation, from Alexandria via LeMat-Bulk.

Cell: 6.960 6.960 7.925 Å, 98.23 98.23 120.09°
Each line ends with the local moment (μB).
Fractional positions:
S (0.272, 0.272, 0.306)  -0.05
S (0.939, 0.600, 0.307)  -0.05
S (0.400, 0.061, 0.693)  -0.05
S (0.600, 0.939, 0.307)  -0.05
S (0.728, 0.728, 0.694)  -0.05
S (0.061, 0.400, 0.693)  -0.05
Tb (0.000, 0.000, 0.500)  0.07
Tl (0.165, 0.835, 0.000)  0.01
Tl (0.835, 0.165, 0.000)  0.01
U (0.334, 0.666, 0.500)  2.34
U (0.666, 0.334, 0.500)  2.34

formation energy without anion corrections	-1.30	eV per atom
space group	C2/m (12)
total DFT energy (no corrections)	-6.46	eV/atom

# 4
The following is a PBE calculation of Nd3HoS4 after structural relaxation, from Alexandria via LeMat-Bulk.

Cell: 6.968 7.018 7.993 Å, 90.00 90.00 109.35°
Fractional positions:
Ho (0.750, 0.000, 0.874)
Ho (0.250, 0.000, 0.126)
S (0.493, 0.244, 0.368)
S (0.000, 0.762, 0.881)
S (0.000, 0.238, 0.119)
S (0.500, 0.238, 0.881)
S (0.500, 0.762, 0.119)
S (0.507, 0.756, 0.632)
S (0.993, 0.244, 0.632)
S (0.007, 0.756, 0.368)
Nd (0.750, 0.500, 0.623)
Nd (0.250, 0.500, 0.874)
Nd (0.250, 0.000, 0.624)
Nd (0.250, 0.500, 0.377)
Nd (0.750, 0.000, 0.376)
Nd (0.750, 0.500, 0.126)

formation energy without anion corrections	-2.01	eV per atom
excess energy over the best structure of this formula in the dataset	0.000	eV/atom
space group	P2/c (13)
total DFT energy (no corrections)	-6.44	eV/atom

# 5
The following is a PBE calculation of Hf2BeHRh after structural relaxation, from Alexandria via LeMat-Bulk.

Cell: 4.414 4.414 3.478 Å, 90.00 90.00 90.00°
Fractional positions:
Hf (0.500, 0.000, 0.000)
Hf (0.000, 0.500, 0.000)
Be (0.000, 0.000, 0.500)
H (0.000, 0.000, 0.000)
Rh (0.500, 0.500, 0.500)

space group	P4/mmm (123)
total DFT energy (no corrections)	-7.22	eV/atom

# 6
The following is a PBE calculation of Li2CdHgBi after structural relaxation, from Alexandria via LeMat-Bulk.

Cell: 5.038 8.419 8.564 Å, 37.13 90.00 90.00°
Fractional positions:
Li (0.750, 0.611, 0.177)
Li (0.250, 0.192, 0.595)
Li (0.250, 0.389, 0.823)
Li (0.750, 0.808, 0.405)
Hg (0.750, 0.369, 0.033)
Hg (0.250, 0.631, 0.967)
Cd (0.750, 0.969, 0.619)
Cd (0.250, 0.031, 0.381)
Bi (0.750, 0.235, 0.753)
Bi (0.250, 0.765, 0.247)

energy of formation from the pure elements	-1.33	eV/f.u.
space group	P2_1/m (11)
total DFT energy (no corrections)	-2.05	eV/atom

# 7
The following is a PBE calculation of B2AuN2 after structural relaxation, from Alexandria via LeMat-Bulk.

Cell: 6.203 6.203 2.582 Å, 90.00 90.00 90.00°
Fractional positions:
N (0.401, 0.099, 0.500)
N (0.901, 0.401, 0.500)
N (0.599, 0.901, 0.500)
N (0.099, 0.599, 0.500)
Au (0.500, 0.500, 0.000)
Au (0.000, 0.000, 0.000)
B (0.105, 0.395, 0.000)
B (0.895, 0.605, 0.000)
B (0.605, 0.105, 0.000)
B (0.395, 0.895, 0.000)

formation energy without anion corrections	1.71	eV per atom
excess energy over the best structure of this formula in the dataset	1.072	eV/atom
space group	P4/mbm (127)
total DFT energy (no corrections)	-4.95	eV/atom

# 8
The following is a PBE calculation of RePb3O7 after structural relaxation, from Alexandria via LeMat-Bulk.

Cell: 6.861 6.861 7.724 Å, 90.00 90.00 109.57°
Fractional positions:
O (0.155, 0.854, 0.750)
O (0.447, 0.210, 0.013)
O (0.210, 0.447, 0.013)
O (0.553, 0.790, 0.513)
O (0.553, 0.790, 0.987)
O (0.790, 0.553, 0.987)
O (0.845, 0.146, 0.250)
O (0.478, 0.478, 0.750)
O (0.146, 0.845, 0.250)
O (0.447, 0.210, 0.487)
O (0.522, 0.522, 0.250)
O (0.790, 0.553, 0.513)
O (0.854, 0.155, 0.750)
O (0.210, 0.447, 0.487)
Pb (0.503, 0.015, 0.750)
Pb (0.985, 0.497, 0.250)
Pb (0.497, 0.985, 0.250)
Pb (0.000, 0.000, 0.000)
Pb (0.015, 0.503, 0.750)
Pb (0.000, 0.000, 0.500)
Re (0.500, 0.500, 0.000)
Re (0.500, 0.500, 0.500)

formation energy without anion corrections	-1.23	eV per atom
space group	Cmcm (63)
total DFT energy (no corrections)	-6.52	eV/atom

Volume per entry: 20.3, 32.0, 28.9, 23.1, 13.6, 21.9, 9.9, 15.6 Å³ per atom